(1)
Computed, not measured: Ca3HfTl after structural relaxation at the PBE level of DFT.

**ΔE_f**: 67 kJ/mol of atoms

abc: 5.8441 5.8441 5.8441
angles: 90.00 90.00 90.00
Closest atoms and distances in Å follow each position.
Sites, in units of the cell vectors:
Ca1 0.0000 0.0000 0.5000  2 Tl 2.92
Ca2 0.0000 0.5000 0.0000  2 Tl 2.92
Ca3 0.5000 0.0000 0.0000  2 Tl 2.92
Hf1 0.5000 0.5000 0.5000  12 Ca 4.13
Tl1 0.0000 0.0000 0.0000  6 Ca 2.92


(2)
Computed, not measured: K7Rb4Pt after structural relaxation at the PBE level of DFT.

**ΔE_f**: 1 kJ/mol of atoms

abc: 8.4040 8.4040 17.4439
angles: 103.62 103.62 44.95
Closest atoms and distances in Å follow each position.
Sites, in units of the cell vectors:
K1 0.0000 0.0000 0.0000  2 Pt 3.21
K2 0.0906 0.0906 0.6326  6 K 4.61-4.90, 5 Rb 4.75-4.90
K3 0.2953 0.2953 0.9191  1 Pt 3.13
K4 0.3655 0.3655 0.5436  8 K 4.61-4.90, 4 Rb 4.71-5.10
K5 0.6345 0.6345 0.4564  8 K 4.61-4.90, 4 Rb 4.71-5.10
K6 0.7047 0.7047 0.0809  1 Pt 3.13
K7 0.9094 0.9094 0.3674  6 K 4.61-4.90, 5 Rb 4.75-4.90
Rb1 0.1816 0.1816 0.2739  9 K 4.71-4.90, 3 Rb 4.83-4.94
Rb2 0.4486 0.4486 0.1694  1 Pt 3.25
Rb3 0.5514 0.5514 0.8306  1 Pt 3.25
Rb4 0.8184 0.8184 0.7261  9 K 4.71-4.90, 3 Rb 4.83-4.94
Pt1 0.5000 0.5000 0.0000  4 K 3.13-3.21, 2 Rb 3.25


(3)
Computed, not measured: Re2MoPb after structural relaxation at the PBE level of DFT.

**ΔE_f**: 88 kJ/mol of atoms

abc: 5.4999 8.2436 3.0386
angles: 90.00 90.00 90.00
Closest atoms and distances in Å follow each position.
Sites, in units of the cell vectors:
Re1 0.2500 0.2500 0.0000  4 Re 2.75-3.04, 4 Pb 2.91, 4 Mo 2.91
Re2 0.2500 0.7500 0.0000  4 Re 2.75-3.04, 4 Pb 2.91, 4 Mo 2.91
Re3 0.7500 0.2500 0.0000  4 Re 2.75-3.04, 4 Pb 2.91, 4 Mo 2.91
Re4 0.7500 0.7500 0.0000  4 Re 2.75-3.04, 4 Mo 2.91, 4 Pb 2.91
Mo1 0.0000 0.0000 0.5000  2 Pb 2.75, 8 Re 2.91, 2 Mo 3.04
Mo2 0.5000 0.5000 0.5000  2 Pb 2.75, 8 Re 2.91, 2 Mo 3.04
Pb1 0.0000 0.5000 0.5000  2 Mo 2.75, 8 Re 2.91, 2 Pb 3.04
Pb2 0.5000 0.0000 0.5000  2 Mo 2.75, 8 Re 2.91, 2 Pb 3.04


(4)
Computed, not measured: NaEu2Ge after structural relaxation at the PBE level of DFT.

**ΔE_f**: -22 kJ/mol of atoms

abc: 5.1574 5.1574 4.3516
angles: 90.00 90.00 90.00
Closest atoms and distances in Å follow each position.
Sites, in units of the cell vectors:
Na1 0.0000 0.0000 0.0000  8 Eu 3.37, 4 Ge 3.65
Eu1 0.0000 0.5000 0.5000  4 Ge 3.37, 4 Na 3.37, 4 Eu 3.65
Eu2 0.5000 0.0000 0.5000  4 Ge 3.37, 4 Na 3.37, 4 Eu 3.65
Ge1 0.5000 0.5000 0.0000  8 Eu 3.37, 4 Na 3.65


(5)
Computed, not measured: Na2AlGaS4 after structural relaxation at the PBE level of DFT.

**Formation energy from raw total energies**: -8.70 eV per formula unit

abc: 6.3284 6.3284 9.2950
angles: 90.00 90.00 90.00
Closest atoms and distances in Å follow each position.
Sites, in units of the cell vectors:
Na1 0.0000 0.0000 0.0000  4 S 2.80
Na2 0.0000 0.5000 0.2500  4 S 2.79
Na3 0.5000 0.0000 0.7500  4 S 2.79
Na4 0.5000 0.5000 0.5000  4 S 2.80
Al1 0.0000 0.5000 0.7500  4 S 2.27
Al2 0.5000 0.0000 0.2500  4 S 2.27
Ga1 0.0000 0.0000 0.5000  4 S 2.30
Ga2 0.5000 0.5000 0.0000  4 S 2.30
S1 0.1851 0.7488 0.6273  1 Al 2.27, 1 Ga 2.30
S2 0.2488 0.3149 0.8727  1 Al 2.27, 1 Ga 2.30
S3 0.2512 0.1851 0.3727  1 Al 2.27, 1 Ga 2.30
S4 0.3149 0.7512 0.1273  1 Al 2.27, 1 Ga 2.30
S5 0.6851 0.2488 0.1273  1 Al 2.27, 1 Ga 2.30
S6 0.7488 0.8149 0.3727  1 Al 2.27, 1 Ga 2.30
S7 0.7512 0.6851 0.8727  1 Al 2.27, 1 Ga 2.30
S8 0.8149 0.2512 0.6273  1 Al 2.27, 1 Ga 2.30


(6)
Computed, not measured: Tl8Te3S2 after structural relaxation at the PBE level of DFT.

**Formation energy from raw total energies**: -2.39 eV per formula unit

abc: 8.2569 8.2569 8.2473
angles: 97.86 97.86 65.19
Closest atoms and distances in Å follow each position.
Sites, in units of the cell vectors:
Tl1 0.0290 0.0290 0.2242  2 S 3.08-3.37, 2 Te 3.29
Tl2 0.1399 0.5585 0.1609  2 S 2.97, 2 Te 3.23-3.25
Tl3 0.3579 0.3579 0.6469  3 Te 3.24-3.29
Tl4 0.4415 0.8601 0.8391  2 S 2.97, 2 Te 3.23-3.25
Tl5 0.5585 0.1399 0.1609  2 S 2.97, 2 Te 3.23-3.25
Tl6 0.6421 0.6421 0.3531  3 Te 3.24-3.29
Tl7 0.8601 0.4415 0.8391  2 S 2.97, 2 Te 3.23-3.25
Tl8 0.9710 0.9710 0.7758  2 S 3.08-3.37, 2 Te 3.29
Te1 0.2569 0.7431 0.5000  6 Tl 3.23-3.29
Te2 0.5000 0.5000 0.0000  6 Tl 3.24-3.25
Te3 0.7431 0.2569 0.5000  6 Tl 3.23-3.29
S1 0.1927 0.1927 0.0129  5 Tl 2.97-3.08
S2 0.8073 0.8073 0.9871  5 Tl 2.97-3.08


(7)
Computed, not measured: Tl2In3Sn7 after structural relaxation at the PBE level of DFT.

**ΔE_f**: 5 kJ/mol of atoms

abc: 5.9729 3.2982 17.4464
angles: 90.00 94.69 90.00
Closest atoms and distances in Å follow each position.
Sites, in units of the cell vectors:
Tl1 0.2038 0.0000 0.3357  2 Tl 3.30, 4 Sn 3.37-3.66, 4 In 3.44
Tl2 0.7962 0.0000 0.6643  2 Tl 3.30, 4 Sn 3.37-3.66, 4 In 3.44
In1 0.3022 0.5000 0.6891  5 Sn 3.21-3.36, 2 In 3.30, 4 Tl 3.44
In2 0.5000 0.0000 0.0000  2 In 3.30, 10 Sn 3.41
In3 0.6978 0.5000 0.3109  5 Sn 3.21-3.36, 2 In 3.30, 4 Tl 3.44
Sn1 0.0000 0.5000 0.0000  8 Sn 3.30-3.37, 4 In 3.41
Sn2 0.1269 0.0000 0.8409  8 Sn 3.30-3.51, 3 In 3.36-3.41, 1 Tl 3.52
Sn3 0.2557 0.0000 0.5296  4 Sn 3.14-3.30, 2 In 3.23, 1 Tl 3.37
Sn4 0.3545 0.5000 0.1596  3 In 3.21-3.41, 7 Sn 3.30-3.51
Sn5 0.6455 0.5000 0.8404  3 In 3.21-3.41, 7 Sn 3.30-3.51
Sn6 0.7443 0.0000 0.4704  4 Sn 3.14-3.30, 2 In 3.23, 1 Tl 3.37
Sn7 0.8731 0.0000 0.1591  8 Sn 3.30-3.51, 3 In 3.36-3.41, 1 Tl 3.52


(8)
Computed, not measured: Na2TaNiSe after structural relaxation at the PBE level of DFT.

**Formation energy from raw total energies**: 6.37 eV per formula unit

abc: 5.8478 5.8478 4.4920
angles: 90.00 90.00 90.00
Closest atoms and distances in Å follow each position.
Sites, in units of the cell vectors:
Na1 0.0000 0.5000 0.0000  2 Ta 2.92
Na2 0.5000 0.0000 0.0000  2 Ta 2.92
Ta1 0.0000 0.0000 0.0000  2 Ni 2.25
Ni1 0.0000 0.0000 0.5000  2 Ta 2.25
Se1 0.5000 0.5000 0.5000  8 Na 3.69


(9)
Computed, not measured: DyAl4Ni4 after structural relaxation at the PBE level of DFT.

**ΔE_f**: -35 kJ/mol of atoms

abc: 6.1824 6.1824 6.1824
angles: 97.31 97.31 138.20
Closest atoms and distances in Å follow each position.
Sites, in units of the cell vectors:
Dy1 0.0000 0.0000 0.0000  4 Ni 2.96
Al1 0.1181 0.6052 0.7234  5 Ni 2.33-2.57, 1 Al 2.58
Al2 0.3948 0.1181 0.5129  5 Ni 2.33-2.57, 1 Al 2.58
Al3 0.6052 0.8819 0.4871  5 Ni 2.33-2.57, 1 Al 2.58
Al4 0.8819 0.3948 0.2766  5 Ni 2.33-2.57, 1 Al 2.58
Ni1 0.1850 0.3111 0.4961  5 Al 2.33-2.57
Ni2 0.3111 0.8150 0.1261  5 Al 2.33-2.57
Ni3 0.6889 0.1850 0.8739  5 Al 2.33-2.57
Ni4 0.8150 0.6889 0.5039  5 Al 2.33-2.57


(10)
Computed, not measured: LaPrSmEr after structural relaxation at the PBE level of DFT.

**ΔE_f**: 3 kJ/mol of atoms

abc: 3.6632 3.6632 11.8602
angles: 90.00 90.00 120.00
Closest atoms and distances in Å follow each position.
Sites, in units of the cell vectors:
La1 0.0000 0.0000 0.0000  3 Er 3.63, 6 La 3.66, 3 Sm 3.69
Pr1 0.6667 0.3333 0.5064  3 Er 3.59, 3 Sm 3.66, 6 Pr 3.66
Sm1 0.3333 0.6667 0.2547  3 Pr 3.66, 6 Sm 3.66, 3 La 3.69
Er1 0.3333 0.6667 0.7512  3 Pr 3.59, 3 La 3.63, 6 Er 3.66


(11)
Computed, not measured: SrScTaTi2 after structural relaxation at the PBE level of DFT.

**ΔE_f**: 103 kJ/mol of atoms

abc: 4.8923 4.8923 5.7847
angles: 90.00 90.00 90.00
Closest atoms and distances in Å follow each position.
Sites, in units of the cell vectors:
Sr1 0.0000 0.0000 0.0000  2 Ta 2.89
Sc1 0.5000 0.5000 0.0000  4 Sr 3.46, 8 Ti 3.79
Ta1 0.0000 0.0000 0.5000  4 Ti 2.45
Ti1 0.0000 0.5000 0.5000  2 Ta 2.45
Ti2 0.5000 0.0000 0.5000  2 Ta 2.45


Number 1: VASP energy -2.97 eV per atom. Number 2: VASP energy -1.45 eV per atom. Number 3: VASP energy -8.94 eV per atom. Number 4: VASP energy -6.85 eV per atom. Number 5: VASP energy -4.33 eV per atom. Number 6: VASP energy -3.00 eV per atom. Number 7: VASP energy -3.37 eV per atom. Number 8: VASP energy -3.48 eV per atom. Number 9: VASP energy -5.11 eV per atom. Number 10: VASP energy -4.72 eV per atom. Number 11: VASP energy -6.06 eV per atom.